First-principles (PBE) data for crystalline InCu3N at its relaxed geometry, as listed in the Alexandria database.

Results
Energy relative to the elements, uncorrected   0.347 eV per atom
Total energy   -4.323 eV/atom
Spin magnetization   0.00 μB/f.u.

Unit cell a=4.073 b=4.073 c=4.073 alpha=90.00 beta=90.00 gamma=90.00
Fractional coordinates of all 5 atoms:
In1 0.000 0.000 0.000
Cu1 0.000 0.500 0.500
Cu2 0.500 0.000 0.500
Cu3 0.500 0.500 0.000
N1 0.500 0.500 0.500

First-principles (PBE) data for crystalline CeDy5Ho8 at its relaxed geometry, as listed in the Alexandria database.

Results
Total energy   -4.414 eV/atom
Spin magnetization   1.49 μB/f.u.
DFT formation energy   0.270 eV/atom

Unit cell a=8.378 b=8.378 c=8.378 alpha=111.63 beta=111.63 gamma=105.23
Fractional coordinates of all 14 atoms:
Ce1 0.000 0.000 0.000
Dy1 0.035 0.437 0.822
Dy2 0.250 0.750 0.500
Dy3 0.563 0.386 0.599
Dy4 0.614 0.213 0.178
Dy5 0.787 0.965 0.401
Ho1 0.088 0.325 0.408
Ho2 0.279 0.173 0.750
Ho3 0.320 0.912 0.237
Ho4 0.423 0.529 0.250
Ho5 0.471 0.721 0.894
Ho6 0.675 0.083 0.763
Ho7 0.827 0.577 0.106
Ho8 0.917 0.680 0.592

First-principles (PBE) data for crystalline ZrW3 at its relaxed geometry, as listed in the Alexandria database.

Results
Total energy   -11.745 eV/atom
Spin magnetization   0.00 μB/f.u.
DFT formation energy   0.107 eV/atom

Unit cell a=5.390 b=5.390 c=5.390 alpha=117.02 beta=117.02 gamma=117.02
Fractional coordinates of all 4 atoms:
Zr1 0.000 0.000 0.000
W1 0.000 0.500 0.500
W2 0.500 0.000 0.500
W3 0.500 0.500 0.000

First-principles (PBE) data for crystalline NdHgRh at its relaxed geometry, as listed in the Alexandria database.

Results
Total energy   -4.539 eV/atom
Spin magnetization   0.00 μB/f.u.
DFT formation energy   -0.399 eV/atom

Unit cell a=4.698 b=4.698 c=3.679 alpha=90.00 beta=90.00 gamma=120.00
Fractional coordinates of all 3 atoms:
Nd1 0.000 0.000 0.000
Hg1 0.333 0.667 0.500
Rh1 0.667 0.333 0.500

First-principles (PBE) data for crystalline YIn3I at its relaxed geometry, as listed in the Alexandria database.

Results
Energy relative to the elements, uncorrected   0.408 eV per atom
Total energy   -2.838 eV/atom
Spin magnetization   2.37 μB/f.u.

Unit cell a=6.135 b=6.135 c=6.135 alpha=90.00 beta=90.00 gamma=90.00
Fractional coordinates of all 5 atoms:
Y1 0.000 0.000 0.000
In1 0.000 0.000 0.500
In2 0.000 0.500 0.000
In3 0.500 0.000 0.000
I1 0.500 0.500 0.500

First-principles (PBE) data for crystalline BeCd2 at its relaxed geometry, as listed in the Alexandria database.

Results
Total energy   -1.499 eV/atom
Spin magnetization   0.00 μB/f.u.
DFT formation energy   0.353 eV/atom

Unit cell a=5.902 b=4.058 c=8.941 alpha=90.00 beta=90.00 gamma=90.00
Fractional coordinates of all 12 atoms:
Be1 0.235 0.250 0.171
Be2 0.265 0.750 0.671
Be3 0.735 0.250 0.329
Be4 0.765 0.750 0.829
Cd1 0.024 0.750 0.305
Cd2 0.175 0.750 0.960
Cd3 0.325 0.250 0.460
Cd4 0.476 0.250 0.805
Cd5 0.524 0.750 0.195
Cd6 0.675 0.750 0.540
Cd7 0.825 0.250 0.040
Cd8 0.976 0.250 0.695

First-principles (PBE) data for crystalline Dy2Er3ScTe6 at its relaxed geometry, as listed in the Alexandria database.

Results
Energy relative to the elements, uncorrected   -1.212 eV per atom
Total energy   -5.219 eV/atom
Spin magnetization   0.00 μB/f.u.

Unit cell a=9.626 b=9.626 c=8.645 alpha=102.73 beta=102.73 gamma=25.77
Fractional coordinates of all 12 atoms:
Dy1 0.168 0.168 0.333
Dy2 0.832 0.832 0.667
Er1 0.172 0.172 0.836
Er2 0.500 0.500 0.500
Er3 0.828 0.828 0.164
Sc1 0.500 0.500 0.000
Te1 0.003 0.003 0.758
Te2 0.335 0.335 0.415
Te3 0.339 0.339 0.922
Te4 0.661 0.661 0.078
Te5 0.665 0.665 0.585
Te6 0.997 0.997 0.242

First-principles (PBE) data for crystalline Ta2BeB3 at its relaxed geometry, as listed in the Alexandria database.

Results
Total energy   -8.603 eV/atom
Spin magnetization   0.00 μB/f.u.
DFT formation energy   -0.692 eV/atom

Unit cell a=6.413 b=6.365 c=4.570 alpha=69.61 beta=68.48 gamma=41.91
Fractional coordinates of all 12 atoms:
Ta1 0.249 0.751 0.249
Ta2 0.250 0.250 0.250
Ta3 0.750 0.750 0.750
Ta4 0.751 0.249 0.751
Be1 0.334 0.334 0.666
Be2 0.666 0.666 0.334
B1 0.162 0.162 0.838
B2 0.163 0.675 0.837
B3 0.325 0.837 0.675
B4 0.675 0.163 0.325
B5 0.837 0.325 0.163
B6 0.838 0.838 0.162

First-principles (PBE) data for crystalline CsHgBr6 at its relaxed geometry, as listed in the Alexandria database.

Results
Energy relative to the elements, uncorrected   -0.414 eV per atom
Total energy   -1.813 eV/atom
Spin magnetization   0.00 μB/f.u.

Unit cell a=6.902 b=6.902 c=6.902 alpha=106.21 beta=106.21 gamma=106.21
Fractional coordinates of all 8 atoms:
Cs1 0.000 0.000 0.000
Hg1 0.500 0.500 0.500
Br1 0.186 0.186 0.571
Br2 0.186 0.571 0.186
Br3 0.429 0.814 0.814
Br4 0.571 0.186 0.186
Br5 0.814 0.429 0.814
Br6 0.814 0.814 0.429

First-principles (PBE) data for crystalline SiNiP at its relaxed geometry, as listed in the Alexandria database.

Results
Energy relative to the elements, uncorrected   0.003 eV per atom
Total energy   -5.535 eV/atom
Spin magnetization   0.00 μB/f.u.

Unit cell a=3.626 b=3.626 c=3.483 alpha=104.48 beta=104.48 gamma=101.43
Fractional coordinates of all 3 atoms:
Si1 0.000 0.000 0.000
Ni1 0.700 0.300 0.500
P1 0.293 0.707 0.500

First-principles (PBE) data for crystalline NaAcHg3 at its relaxed geometry, as listed in the Alexandria database.

Results
Total energy   -1.292 eV/atom
Spin magnetization   0.00 μB/f.u.
DFT formation energy   -0.025 eV/atom

Unit cell a=12.557 b=12.557 c=12.557 alpha=153.28 beta=153.28 gamma=38.15
Fractional coordinates of all 10 atoms:
Na1 0.116 0.116 0.000
Na2 0.884 0.884 0.000
Ac1 0.250 0.750 0.500
Ac2 0.500 0.500 0.000
Hg1 0.373 0.124 0.751
Hg2 0.373 0.623 0.249
Hg3 0.377 0.627 0.751
Hg4 0.566 0.066 0.500
Hg5 0.876 0.627 0.249
Hg6 0.934 0.434 0.500

First-principles (PBE) data for crystalline Na4Tl5Pb3 at its relaxed geometry, as listed in the Alexandria database.

Results
Total energy   -2.363 eV/atom
Spin magnetization   0.00 μB/f.u.
DFT formation energy   -0.010 eV/atom

Unit cell a=8.223 b=8.223 c=9.362 alpha=117.54 beta=117.54 gamma=42.63
Fractional coordinates of all 12 atoms:
Na1 0.058 0.058 0.216
Na2 0.273 0.273 0.252
Na3 0.727 0.727 0.748
Na4 0.942 0.942 0.784
Tl1 0.182 0.182 0.870
Tl2 0.429 0.429 0.081
Tl3 0.500 0.500 0.500
Tl4 0.571 0.571 0.919
Tl5 0.818 0.818 0.130
Pb1 0.000 0.000 0.500
Pb2 0.281 0.281 0.618
Pb3 0.719 0.719 0.382

First-principles (PBE) data for crystalline MgUTl2Se4 at its relaxed geometry, as listed in the Alexandria database.

Results
Energy relative to the elements, uncorrected   -0.902 eV per atom
Total energy   -4.847 eV/atom
Spin magnetization   2.00 μB/f.u.

Unit cell a=7.026 b=4.134 c=8.156 alpha=90.00 beta=107.20 gamma=90.00
Fractional coordinates of all 8 atoms:
Mg1 0.000 0.000 0.000
U1 0.500 0.500 0.000
Tl1 0.000 0.500 0.500
Tl2 0.500 0.000 0.500
Se1 0.229 0.500 0.194
Se2 0.266 0.000 0.796
Se3 0.734 0.000 0.204
Se4 0.771 0.500 0.806

First-principles (PBE) data for crystalline Th3Si4Ni7 at its relaxed geometry, as listed in the Alexandria database.

Results
Energy relative to the elements, uncorrected   -0.671 eV per atom
Total energy   -6.701 eV/atom
Spin magnetization   0.00 μB/f.u.

Unit cell a=7.714 b=7.714 c=9.121 alpha=124.75 beta=124.75 gamma=30.38
Fractional coordinates of all 14 atoms:
Th1 0.000 0.000 0.000
Th2 0.317 0.317 0.314
Th3 0.683 0.683 0.686
Si1 0.116 0.116 0.395
Si2 0.332 0.332 0.979
Si3 0.668 0.668 0.021
Si4 0.884 0.884 0.605
Ni1 0.000 0.000 0.500
Ni2 0.131 0.131 0.863
Ni3 0.317 0.317 0.679
Ni4 0.498 0.498 0.720
Ni5 0.502 0.502 0.280
Ni6 0.683 0.683 0.321
Ni7 0.869 0.869 0.137

First-principles (PBE) data for crystalline Tl2TcRh at its relaxed geometry, as listed in the Alexandria database.

Results
Total energy   -5.000 eV/atom
Spin magnetization   0.95 μB/f.u.
DFT formation energy   0.613 eV/atom

Unit cell a=3.079 b=3.079 c=9.040 alpha=90.00 beta=90.00 gamma=116.51
Fractional coordinates of all 4 atoms:
Tl1 0.000 0.000 0.245
Tl2 0.000 0.000 0.755
Tc1 0.500 0.500 0.500
Rh1 0.500 0.500 0.000

First-principles (PBE) data for crystalline SrRh2C at its relaxed geometry, as listed in the Alexandria database.

Results
Total energy   -6.480 eV/atom
Spin magnetization   0.00 μB/f.u.
DFT formation energy   -0.078 eV/atom

Unit cell a=5.758 b=5.758 c=5.758 alpha=106.99 beta=106.99 gamma=114.55
Fractional coordinates of all 8 atoms:
Sr1 0.000 0.000 0.000
Sr2 0.750 0.250 0.500
Rh1 0.285 0.625 0.160
Rh2 0.375 0.535 0.660
Rh3 0.465 0.125 0.840
Rh4 0.875 0.715 0.340
C1 0.250 0.750 0.500
C2 0.500 0.500 0.000

First-principles (PBE) data for crystalline Er3TmBi4 at its relaxed geometry, as listed in the Alexandria database.

Results
Total energy   -5.021 eV/atom
Spin magnetization   0.00 μB/f.u.
DFT formation energy   -0.810 eV/atom

Unit cell a=6.274 b=6.274 c=6.274 alpha=90.00 beta=90.00 gamma=90.00
Fractional coordinates of all 8 atoms:
Er1 0.000 0.000 0.500
Er2 0.000 0.500 0.000
Er3 0.500 0.000 0.000
Tm1 0.500 0.500 0.500
Bi1 0.000 0.000 0.000
Bi2 0.000 0.500 0.500
Bi3 0.500 0.000 0.500
Bi4 0.500 0.500 0.000

First-principles (PBE) data for crystalline Na3Ce3US8 at its relaxed geometry, as listed in the Alexandria database.

Results
Energy relative to the elements, uncorrected   -1.666 eV per atom
Total energy   -6.070 eV/atom
Spin magnetization   5.00 μB/f.u.

Unit cell a=8.186 b=8.186 c=8.186 alpha=60.31 beta=60.31 gamma=60.31
Fractional coordinates of all 15 atoms:
Na1 0.000 0.500 0.500
Na2 0.500 0.000 0.500
Na3 0.500 0.500 0.000
Ce1 0.000 0.000 0.500
Ce2 0.000 0.500 0.000
Ce3 0.500 0.000 0.000
U1 0.500 0.500 0.500
S1 0.244 0.244 0.244
S2 0.253 0.734 0.734
S3 0.266 0.266 0.747
S4 0.266 0.747 0.266
S5 0.734 0.253 0.734
S6 0.734 0.734 0.253
S7 0.747 0.266 0.266
S8 0.756 0.756 0.756

First-principles (PBE) data for crystalline ReP4 at its relaxed geometry, as listed in the Alexandria database.

Results
Total energy   -5.925 eV/atom
Spin magnetization   0.06 μB/f.u.
DFT formation energy   0.892 eV/atom

Unit cell a=4.604 b=4.604 c=4.604 alpha=90.00 beta=90.00 gamma=90.00
Fractional coordinates of all 5 atoms:
Re1 0.000 0.000 0.000
P1 0.000 0.000 0.500
P2 0.000 0.500 0.000
P3 0.500 0.000 0.000
P4 0.500 0.500 0.500

First-principles (PBE) data for crystalline RbLa2I7 at its relaxed geometry, as listed in the Alexandria database.

Results
Energy relative to the elements, uncorrected   -1.478 eV per atom
Total energy   -3.645 eV/atom
Spin magnetization   0.00 μB/f.u.

Unit cell a=9.536 b=9.536 c=6.310 alpha=90.00 beta=90.00 gamma=115.87
Fractional coordinates of all 10 atoms:
Rb1 0.000 0.000 0.000
La1 0.302 0.698 0.500
La2 0.698 0.302 0.500
I1 0.051 0.325 0.500
I2 0.290 0.710 0.000
I3 0.325 0.051 0.500
I4 0.500 0.500 0.500
I5 0.675 0.949 0.500
I6 0.710 0.290 0.000
I7 0.949 0.675 0.500